First-principles (GGA-PBE) data for a relaxed structure of CeSmAgHg, as listed in Alexandria.

Fermi-level density of states in states/eV/atom: 2.66
Calculated formation energy in eV/atom: -0.2596
Magnetic moment in Bohr magnetons per cell: 1.30
V in Å³/atom: 26.78

Geometry as CIF:
```
data_CeSmAgHg
_chemical_formula_sum 'Ce1 Sm1 Ag1 Hg1'
_cell_length_a 5.3306
_cell_length_b 5.3306
_cell_length_c 5.3306
_cell_angle_alpha 60.00
_cell_angle_beta 60.00
_cell_angle_gamma 60.00
_symmetry_space_group_name_H-M 'P 1'
_symmetry_Int_Tables_number 1
_symmetry_space_group_name_Hall 'P 1'
loop_
_atom_site_label
_atom_site_fract_x
_atom_site_fract_y
_atom_site_fract_z
_atom_site_occupancy
Ce1 0.0000 0.0000 0.0000 1
Sm1 0.5000 0.5000 0.5000 1
Ag1 0.2500 0.2500 0.2500 1
Hg1 0.7500 0.7500 0.7500 1
```



First-principles (GGA-PBE) data for a relaxed structure of Tb2CeAgHg4, as listed in Alexandria.

Fermi-level density of states in states/eV/atom: 1.47
Calculated formation energy in eV/atom: -0.3322
Magnetic moment in Bohr magnetons per cell: 1.25
V in Å³/atom: 25.38

Geometry as CIF:
```
data_Tb2CeAgHg4
_chemical_formula_sum 'Tb2 Ce1 Ag1 Hg4'
_cell_length_a 9.4618
_cell_length_b 9.4618
_cell_length_c 9.4618
_cell_angle_alpha 31.31
_cell_angle_beta 31.31
_cell_angle_gamma 31.31
_symmetry_space_group_name_H-M 'P 1'
_symmetry_Int_Tables_number 1
_symmetry_space_group_name_Hall 'P 1'
loop_
_atom_site_label
_atom_site_fract_x
_atom_site_fract_y
_atom_site_fract_z
_atom_site_occupancy
Tb1 0.2403 0.2403 0.2403 1
Tb2 0.7597 0.7597 0.7597 1
Ce1 0.0000 0.0000 0.0000 1
Ag1 0.5000 0.5000 0.5000 1
Hg1 0.1253 0.1253 0.1253 1
Hg2 0.3796 0.3796 0.3796 1
Hg3 0.6204 0.6204 0.6204 1
Hg4 0.8747 0.8747 0.8747 1
```